Crystalline AcErIrO6 at its relaxed geometry. Source: Alexandria, functional PBE-GGA.

## Properties
Formation energy (no corrections): -51.6 kcal/mol of atoms
Total magnetization: 3.022 Bohr magnetons per cell

Lattice parameters (Å, degrees): 5.530 5.530 5.315 90.00 90.00 120.00
Positions (direct):
Ac 0.000 0.000 0.000
Er 0.333 0.667 0.500
Ir 0.667 0.333 0.500
O 0.381 0.037 0.711
O 0.381 0.345 0.289
O 0.655 0.037 0.289
O 0.655 0.619 0.711
O 0.963 0.345 0.711
O 0.963 0.619 0.289